#w
The following is a DFT calculation (PBE) of an optimized crystal structure of MgNiAs2Br.

Summary:
As for the magnetic moment: 0.6 μB/cell.

a b c (Å): 4.9865 4.9865 5.0782
angles (deg): 90.00 90.00 90.00
Element x y z (fractional)
Mg  0.0000  0.0000  0.0000
Ni  0.5000  0.5000  0.5000
As  0.0000  0.5000  0.0000
As  0.5000  0.0000  0.0000
Br  0.0000  0.0000  0.5000

***

#x
The following is a DFT calculation (PBE) of an optimized crystal structure of MgNiAs2Br.

Summary:
As for the magnetic moment: 0.0 μB/cell.

a b c (Å): 4.3698 4.3698 6.7633
angles (deg): 90.00 90.00 90.00
Element x y z (fractional)
Mg  0.0000  0.0000  0.0000
Ni  0.5000  0.5000  0.5000
As  0.0000  0.5000  0.5000
As  0.5000  0.0000  0.5000
Br  0.5000  0.5000  0.0000

***

Least stable: #w

***

#w
The following is a DFT calculation (PBE) of an optimized crystal structure of MgNiAsBr2.

Summary:
As for the magnetic moment: 0.9 μB/cell.

a b c (Å): 4.9495 4.9495 4.7677
angles (deg): 90.00 90.00 90.00
Element x y z (fractional)
Mg  0.0000  0.0000  0.0000
Ni  0.5000  0.5000  0.5000
As  0.5000  0.5000  0.0000
Br  0.0000  0.5000  0.5000
Br  0.5000  0.0000  0.5000

***

#x
The following is a DFT calculation (PBE) of an optimized crystal structure of MgNiAsBr2.

Summary:
As for the magnetic moment: 0.1 μB/cell.

a b c (Å): 5.0557 5.0557 5.4389
angles (deg): 90.00 90.00 90.00
Element x y z (fractional)
Mg  0.0000  0.0000  0.0000
Ni  0.5000  0.5000  0.5000
As  0.0000  0.0000  0.5000
Br  0.0000  0.5000  0.0000
Br  0.5000  0.0000  0.0000

***

Least stable: #x

***

#w
The following is a DFT calculation (PBE) of an optimized crystal structure of MgAsBr2O.

Summary:
As for the magnetic moment: 0.6 μB/cell.

a b c (Å): 5.0309 5.0309 5.4826
angles (deg): 90.00 90.00 90.00
Element x y z (fractional)
Mg  0.0000  0.0000  0.0000
As  0.0000  0.0000  0.5000
Br  0.0000  0.5000  0.0000
Br  0.5000  0.0000  0.0000
O  0.5000  0.5000  0.5000

***

#x
The following is a DFT calculation (PBE) of an optimized crystal structure of MgAsBr2O.

Summary:
As for the magnetic moment: 0.0 μB/cell.

a b c (Å): 4.8163 4.8163 4.4006
angles (deg): 90.00 90.00 90.00
Element x y z (fractional)
Mg  0.0000  0.0000  0.0000
As  0.5000  0.5000  0.0000
Br  0.0000  0.5000  0.5000
Br  0.5000  0.0000  0.5000
O  0.5000  0.5000  0.5000

***

Least stable: #w

***

#w
The following is a DFT calculation (PBE) of an optimized crystal structure of MgAs2BrO.

Summary:
As for the magnetic moment: 0.0 μB/cell.

a b c (Å): 4.1257 4.1257 6.3739
angles (deg): 90.00 90.00 90.00
Element x y z (fractional)
Mg  0.0000  0.0000  0.0000
As  0.0000  0.5000  0.5000
As  0.5000  0.0000  0.5000
Br  0.5000  0.5000  0.0000
O  0.5000  0.5000  0.5000

***

#x
The following is a DFT calculation (PBE) of an optimized crystal structure of MgAs2BrO.

Summary:
As for the magnetic moment: 0.3 μB/cell.

a b c (Å): 5.1091 5.1091 5.0048
angles (deg): 90.00 90.00 90.00
Element x y z (fractional)
Mg  0.0000  0.0000  0.0000
As  0.0000  0.5000  0.0000
As  0.5000  0.0000  0.0000
Br  0.0000  0.0000  0.5000
O  0.5000  0.5000  0.5000

***

Least stable: #x

***

#w
The following is a DFT calculation (PBE) of an optimized crystal structure of MgAs2PBr.

Summary:
As for the magnetic moment: 0.0 μB/cell.

a b c (Å): 4.8028 4.8028 5.1441
angles (deg): 90.00 90.00 90.00
Element x y z (fractional)
Mg  0.0000  0.0000  0.0000
As  0.0000  0.5000  0.5000
As  0.5000  0.0000  0.5000
P  0.5000  0.5000  0.5000
Br  0.5000  0.5000  0.0000

***

#x
The following is a DFT calculation (PBE) of an optimized crystal structure of MgAs2PBr.

Summary:
As for the magnetic moment: 0.1 μB/cell.

a b c (Å): 5.1143 5.1143 4.8267
angles (deg): 90.00 90.00 90.00
Element x y z (fractional)
Mg  0.0000  0.0000  0.0000
As  0.0000  0.5000  0.0000
As  0.5000  0.0000  0.0000
P  0.5000  0.5000  0.5000
Br  0.0000  0.0000  0.5000

***

Least stable: #x

***

#w
The following is a DFT calculation (PBE) of an optimized crystal structure of MgScAsBr2.

Summary:
As for the magnetic moment: 0.0 μB/cell.

a b c (Å): 5.1446 5.1446 5.5176
angles (deg): 90.00 90.00 90.00
Element x y z (fractional)
Mg  0.0000  0.0000  0.0000
Sc  0.5000  0.5000  0.5000
As  0.5000  0.5000  0.0000
Br  0.0000  0.5000  0.5000
Br  0.5000  0.0000  0.5000

***

#x
The following is a DFT calculation (PBE) of an optimized crystal structure of MgScAsBr2.

Summary:
As for the magnetic moment: 0.1 μB/cell.

a b c (Å): 4.8685 4.8685 5.6555
angles (deg): 90.00 90.00 90.00
Element x y z (fractional)
Mg  0.0000  0.0000  0.0000
Sc  0.5000  0.5000  0.5000
As  0.0000  0.0000  0.5000
Br  0.0000  0.5000  0.0000
Br  0.5000  0.0000  0.0000

***

Least stable: #x

***

#w
The following is a DFT calculation (PBE) of an optimized crystal structure of MgAsSeBr2.

Summary:
As for the magnetic moment: 0.0 μB/cell.

a b c (Å): 5.3334 5.3334 5.2137
angles (deg): 90.00 90.00 90.00
Element x y z (fractional)
Mg  0.0000  0.0000  0.0000
As  0.5000  0.5000  0.0000
Se  0.5000  0.5000  0.5000
Br  0.0000  0.5000  0.5000
Br  0.5000  0.0000  0.5000

***

#x
The following is a DFT calculation (PBE) of an optimized crystal structure of MgAsSeBr2.

Summary:
As for the magnetic moment: 1.0 μB/cell.

a b c (Å): 4.9911 4.9911 5.5389
angles (deg): 90.00 90.00 90.00
Element x y z (fractional)
Mg  0.0000  0.0000  0.0000
As  0.5000  0.5000  0.5000
Se  0.0000  0.0000  0.5000
Br  0.0000  0.5000  0.0000
Br  0.5000  0.0000  0.0000

***

#y
The following is a DFT calculation (PBE) of an optimized crystal structure of MgAsSeBr2.

Summary:
As for the magnetic moment: 0.5 μB/cell.

a b c (Å): 4.9483 4.9483 5.8442
angles (deg): 90.00 90.00 90.00
Element x y z (fractional)
Mg  0.0000  0.0000  0.0000
As  0.0000  0.0000  0.5000
Se  0.5000  0.5000  0.5000
Br  0.0000  0.5000  0.0000
Br  0.5000  0.0000  0.0000

***

Least stable: #w

***

#w
The following is a DFT calculation (PBE) of an optimized crystal structure of MgSiAs2Br.

Summary:
As for the magnetic moment: 0.0 μB/cell.

a b c (Å): 4.8263 4.8263 5.1750
angles (deg): 90.00 90.00 90.00
Element x y z (fractional)
Mg  0.0000  0.0000  0.0000
Si  0.5000  0.5000  0.5000
As  0.0000  0.5000  0.5000
As  0.5000  0.0000  0.5000
Br  0.5000  0.5000  0.0000

***

#x
The following is a DFT calculation (PBE) of an optimized crystal structure of MgSiAs2Br.

Summary:
As for the magnetic moment: 0.0 μB/cell.

a b c (Å): 5.0393 5.0393 5.0665
angles (deg): 90.00 90.00 90.00
Element x y z (fractional)
Mg  0.0000  0.0000  0.0000
Si  0.5000  0.5000  0.5000
As  0.0000  0.5000  0.0000
As  0.5000  0.0000  0.0000
Br  0.0000  0.0000  0.5000

***

Least stable: #x